Record 1
# TaTlNi2 (PBE-GGA, relaxed)
# - Distance to the lowest polymorph of the same formula: 166 meV per atom
# - M_tot: 0.00 μB/cell
# - Energy: -6.265 eV/atom
# - DFT formation energy: 181 meV/atom
data_TaTlNi2
_chemical_formula_sum 'Ta1 Tl1 Ni2'
_space_group_name_H-M_alt 'P 4 m m'
_space_group_IT_number 99
_cell_length_a 3.150
_cell_length_b 3.150
_cell_length_c 6.351
_cell_angle_alpha 90.00
_cell_angle_beta 90.00
_cell_angle_gamma 90.00
loop_
_space_group_symop_operation_xyz
'x,y,z'
'-y,x,z'
'-x,-y,z'
'y,-x,z'
'-x,y,z'
'y,x,z'
'x,-y,z'
'-y,-x,z'
loop_
_atom_site_label
_atom_site_fract_x
_atom_site_fract_y
_atom_site_fract_z
Ta1 0.000 0.000 0.000
Tl1 0.500 0.500 0.342
Ni1 0.000 0.000 0.601
Ni2 0.500 0.500 0.792

---

Record 2
# LiHg3Pb2 (PBE-GGA, relaxed)
# - Distance to the lowest polymorph of the same formula: 40 meV per atom
# - M_tot: 0.00 μB/cell
# - Energy: -1.756 eV/atom
# - DFT formation energy: -50 meV/atom
data_LiHg3Pb2
_chemical_formula_sum 'Li1 Hg3 Pb2'
_space_group_name_H-M_alt 'P m m 2'
_space_group_IT_number 25
_cell_length_a 3.683
_cell_length_b 4.806
_cell_length_c 8.810
_cell_angle_alpha 90.00
_cell_angle_beta 90.00
_cell_angle_gamma 90.00
loop_
_space_group_symop_operation_xyz
'x,y,z'
'-x,-y,z'
'-x,y,z'
'x,-y,z'
loop_
_atom_site_label
_atom_site_fract_x
_atom_site_fract_y
_atom_site_fract_z
Li1 0.000 0.000 0.000
Hg1 0.000 0.000 0.311
Hg2 0.000 0.500 0.506
Hg3 0.000 0.500 0.848
Pb1 0.500 0.000 0.686
Pb2 0.500 0.500 0.151

---

Record 3
# Na2UAu2Se4 (PBE-GGA, relaxed)
# - Energy relative to the elements, uncorrected: -0.7715 eV/atom
# - M_tot: 3.94 μB/cell
# - Energy: -4.596 eV/atom
data_Na2UAu2Se4
_chemical_formula_sum 'Na4 U2 Au4 Se8'
_space_group_name_H-M_alt 'C 1 2/m 1'
_space_group_IT_number 12
_cell_length_a 15.056
_cell_length_b 4.131
_cell_length_c 7.663
_cell_angle_alpha 90.00
_cell_angle_beta 114.38
_cell_angle_gamma 90.00
loop_
_space_group_symop_operation_xyz
'x,y,z'
'-x,-y,-z'
'-x,y,-z'
'x,-y,z'
'x+1/2,y+1/2,z'
'-x+1/2,-y+1/2,-z'
'-x+1/2,y+1/2,-z'
'x+1/2,-y+1/2,z'
loop_
_atom_site_label
_atom_site_fract_x
_atom_site_fract_y
_atom_site_fract_z
Na1 0.131 0.000 0.086
U1 0.000 0.000 0.500
Au1 0.184 0.500 0.513
Se1 0.006 0.500 0.242
Se2 0.204 0.000 0.746